Compound: MgTc2Sb
Source: the Alexandria database
Functional: GGA-PBEsol
Structure: relaxed

Unit cell a=6.3599 b=6.3599 c=6.3599 alpha=90.00 beta=90.00 gamma=90.00
With the nearest neighbours (Å) after each atom.
Fractional coordinates of all 16 atoms:
Mg1 0.0000 0.0000 0.0000  4 Tc 2.75, 4 Sb 2.75
Mg2 0.0000 0.5000 0.5000  4 Tc 2.75, 4 Sb 2.75
Mg3 0.5000 0.0000 0.5000  4 Tc 2.75, 4 Sb 2.75
Mg4 0.5000 0.5000 0.0000  4 Tc 2.75, 4 Sb 2.75
Tc1 0.0000 0.0000 0.5000  4 Sb 2.75, 4 Tc 2.75
Tc2 0.0000 0.5000 0.0000  4 Sb 2.75, 4 Tc 2.75
Tc3 0.2500 0.2500 0.7500  4 Tc 2.75, 4 Mg 2.75
Tc4 0.2500 0.7500 0.2500  4 Tc 2.75, 4 Mg 2.75
Tc5 0.5000 0.0000 0.0000  4 Sb 2.75, 4 Tc 2.75
Tc6 0.5000 0.5000 0.5000  4 Sb 2.75, 4 Tc 2.75
Tc7 0.7500 0.2500 0.2500  4 Tc 2.75, 4 Mg 2.75
Tc8 0.7500 0.7500 0.7500  4 Tc 2.75, 4 Mg 2.75
Sb1 0.2500 0.2500 0.2500  4 Mg 2.75, 4 Tc 2.75
Sb2 0.2500 0.7500 0.7500  4 Mg 2.75, 4 Tc 2.75
Sb3 0.7500 0.2500 0.7500  4 Mg 2.75, 4 Tc 2.75
Sb4 0.7500 0.7500 0.2500  4 Mg 2.75, 4 Tc 2.75

Properties
E_form (uncorrected) ... 1.245 eV/f.u.
Total magnetization ... 0.76 μB/f.u.
E above lowest polymorph ... 126 meV/atom
Energy ... -110.2 eV/cell